[1]
{
  "formula": "OsPbSe2Br",
  "functional": "SCAN",
  "state": "PBEsol geometry",
  "cell": [[5.332, 0.000, 0.000], [0.000, 5.332, 0.000], [0.000, 0.000, 5.426]],
  "species": ["Os", "Pb", "Se", "Se", "Br"],
  "frac_coords": [[0.000, 0.000, 0.000], [0.500, 0.500, 0.500], [0.000, 0.500, 0.500], [0.500, 0.000, 0.500], [0.500, 0.500, 0.000]],
  "spacegroup": "P4/mmm",
  "e_form_raw_mev_per_atom": 1540
}



[2]
{
  "formula": "Sc2FePt",
  "functional": "SCAN",
  "state": "PBEsol geometry",
  "cell": [[3.176, 0.000, 0.000], [0.000, 3.176, 0.000], [0.000, 0.000, 6.251]],
  "species": ["Sc", "Sc", "Fe", "Pt"],
  "frac_coords": [[0.000, 0.000, 0.234], [0.000, 0.000, 0.766], [0.500, 0.500, 0.000], [0.500, 0.500, 0.500]],
  "formation_enthalpy_0k_ev_per_fu": -3.148,
  "spacegroup": "P4/mmm"
}



[3]
{
  "formula": "TaTl2Cu",
  "functional": "SCAN",
  "state": "PBEsol geometry",
  "cell": [[1.544, 0.892, 9.236], [-1.544, 0.892, 9.236], [0.000, -1.783, 9.236]],
  "species": ["Ta", "Tl", "Tl", "Cu"],
  "frac_coords": [[0.000, 0.000, 0.000], [0.244, 0.244, 0.244], [0.756, 0.756, 0.756], [0.500, 0.500, 0.500]],
  "formation_enthalpy_0k_ev_per_fu": 2.176,
  "spacegroup": "R-3m",
  "relative_energy_kj_per_mol_fu": 0.0
}



[4]
{
  "formula": "TaCoAs",
  "functional": "SCAN",
  "state": "PBEsol geometry",
  "cell": [[6.204, 0.000, 0.000], [0.000, 3.712, 0.000], [0.000, 0.000, 7.068]],
  "species": ["Ta", "Ta", "Ta", "Ta", "Co", "Co", "Co", "Co", "As", "As", "As", "As"],
  "frac_coords": [[0.021, 0.250, 0.172], [0.479, 0.750, 0.672], [0.521, 0.250, 0.328], [0.979, 0.750, 0.828], [0.156, 0.250, 0.567], [0.344, 0.750, 0.067], [0.656, 0.250, 0.933], [0.844, 0.750, 0.433], [0.217, 0.750, 0.380], [0.283, 0.250, 0.880], [0.717, 0.750, 0.120], [0.783, 0.250, 0.620]],
  "formation_enthalpy_0k_ev_per_fu": -1.180,
  "spacegroup": "Pnma"
}



[5]
{
  "formula": "Na3LiTa",
  "functional": "SCAN",
  "state": "PBEsol geometry",
  "cell": [[5.078, 0.000, 0.000], [0.000, 5.078, 0.000], [0.000, 0.000, 5.078]],
  "species": ["Na", "Na", "Na", "Li", "Ta"],
  "frac_coords": [[0.000, 0.000, 0.500], [0.000, 0.500, 0.000], [0.500, 0.000, 0.000], [0.000, 0.000, 0.000], [0.500, 0.500, 0.500]],
  "formation_enthalpy_0k_ev_per_fu": 6.725,
  "spacegroup": "Pm-3m"
}



[6]
{
  "formula": "LaMgSc2",
  "functional": "SCAN",
  "state": "PBEsol geometry",
  "cell": [[3.339, 0.000, 0.000], [0.000, 4.648, 0.000], [0.000, 0.000, 6.726]],
  "species": ["La", "Mg", "Sc", "Sc"],
  "frac_coords": [[0.000, 0.000, 0.000], [0.500, 0.500, 0.268], [0.000, 0.000, 0.508], [0.500, 0.500, 0.732]],
  "formation_enthalpy_0k_ev_per_fu": 0.175,
  "spacegroup": "Pmm2"
}



[7]
{
  "formula": "Mg5Ir",
  "functional": "SCAN",
  "state": "PBEsol geometry",
  "cell": [[2.191, -5.747, 0.000], [2.191, 5.747, 0.000], [0.000, 0.000, 4.430]],
  "species": ["Mg", "Mg", "Mg", "Mg", "Mg", "Ir"],
  "frac_coords": [[0.000, 0.000, 0.000], [0.151, 0.849, 0.500], [0.349, 0.651, 0.000], [0.651, 0.349, 0.000], [0.849, 0.151, 0.500], [0.500, 0.500, 0.500]],
  "formation_enthalpy_0k_ev_per_fu": -1.364,
  "spacegroup": "Cmmm",
  "relative_energy_kj_per_mol_fu": 7.1
}



[8]
{
  "formula": "HfSe2Cl12",
  "functional": "SCAN",
  "state": "PBEsol geometry",
  "cell": [[0.000, 6.414, 10.785], [6.005, 0.000, 10.785], [6.005, 6.414, 0.000]],
  "species": ["Hf", "Hf", "Se", "Se", "Se", "Se", "Cl", "Cl", "Cl", "Cl", "Cl", "Cl", "Cl", "Cl", "Cl", "Cl", "Cl", "Cl", "Cl", "Cl", "Cl", "Cl", "Cl", "Cl", "Cl", "Cl", "Cl", "Cl", "Cl", "Cl"],
  "frac_coords": [[0.000, 0.000, 0.000], [0.250, 0.250, 0.250], [0.063, 0.602, 0.891], [0.359, 0.806, 0.187], [0.602, 0.063, 0.444], [0.806, 0.359, 0.648], [0.036, 0.475, 0.810], [0.039, 0.965, 0.271], [0.121, 0.724, 0.034], [0.129, 0.216, 0.526], [0.184, 0.631, 0.649], [0.216, 0.129, 0.129], [0.277, 0.885, 0.891], [0.303, 0.359, 0.365], [0.359, 0.303, 0.973], [0.364, 0.794, 0.439], [0.440, 0.571, 0.214], [0.475, 0.036, 0.679], [0.525, 0.979, 0.285], [0.571, 0.440, 0.775], [0.601, 0.713, 0.066], [0.631, 0.184, 0.537], [0.713, 0.601, 0.619], [0.724, 0.121, 0.121], [0.794, 0.364, 0.403], [0.811, 0.847, 0.886], [0.847, 0.811, 0.456], [0.885, 0.277, 0.947], [0.965, 0.039, 0.725], [0.979, 0.525, 0.211]],
  "spacegroup": "Fdd2",
  "e_form_raw_mev_per_atom": -940
}



[9]
{
  "formula": "ReAgBr",
  "functional": "SCAN",
  "state": "PBEsol geometry",
  "cell": [[0.000, 2.605, 7.081], [1.450, 0.000, 7.081], [1.450, 2.605, 0.000]],
  "species": ["Re", "Ag", "Br"],
  "frac_coords": [[0.000, 0.000, 0.000], [0.336, 0.336, 0.664], [0.646, 0.646, 0.354]],
  "spacegroup": "Fmm2",
  "e_form_raw_mev_per_atom": 1014,
  "relative_energy_kj_per_mol_fu": 0.0
}



[10]
{
  "formula": "YLuSe3",
  "functional": "SCAN",
  "state": "PBEsol geometry",
  "cell": [[3.439, -5.981, 0.000], [3.439, 5.981, 0.000], [-2.275, 0.000, 6.536]],
  "species": ["Y", "Y", "Lu", "Lu", "Se", "Se", "Se", "Se", "Se", "Se"],
  "frac_coords": [[0.000, 0.000, 0.000], [0.834, 0.166, 0.500], [0.332, 0.668, 0.000], [0.665, 0.335, 0.000], [0.076, 0.418, 0.246], [0.254, 0.261, 0.756], [0.420, 0.081, 0.243], [0.582, 0.924, 0.754], [0.739, 0.746, 0.244], [0.919, 0.580, 0.757]],
  "spacegroup": "C2",
  "e_form_raw_mev_per_atom": -2124,
  "relative_energy_kj_per_mol_fu": 0.0
}



[11]
{
  "formula": "H2WF",
  "functional": "SCAN",
  "state": "PBEsol geometry",
  "cell": [[-2.756, 2.756, 2.084], [2.756, -2.756, 2.084], [2.756, 2.756, -2.084]],
  "species": ["H", "H", "H", "H", "W", "W", "F", "F"],
  "frac_coords": [[0.075, 0.625, 0.950], [0.375, 0.325, 0.450], [0.675, 0.125, 0.050], [0.875, 0.925, 0.550], [0.000, 0.000, 0.000], [0.750, 0.250, 0.500], [0.250, 0.750, 0.500], [0.500, 0.500, 0.000]],
  "spacegroup": "I-42d",
  "relative_energy_kj_per_mol_fu": 0.0
}



[12]
{
  "formula": "Y2OsPt",
  "functional": "SCAN",
  "state": "PBEsol geometry",
  "cell": [[3.836, 0.000, 0.000], [0.000, 3.836, 0.000], [0.000, 0.000, 5.774]],
  "species": ["Y", "Y", "Os", "Pt"],
  "frac_coords": [[0.000, 0.000, 0.000], [0.500, 0.500, 0.376], [0.000, 0.000, 0.510], [0.500, 0.500, 0.863]],
  "formation_enthalpy_0k_ev_per_fu": -1.585,
  "spacegroup": "P4mm"
}



[13]
{
  "formula": "MgBeN2O",
  "functional": "SCAN",
  "state": "PBEsol geometry",
  "cell": [[3.978, 0.000, 0.000], [0.000, 3.978, 0.000], [0.000, 0.000, 3.717]],
  "species": ["Mg", "Be", "N", "N", "O"],
  "frac_coords": [[0.000, 0.000, 0.000], [0.500, 0.500, 0.500], [0.000, 0.500, 0.000], [0.500, 0.000, 0.000], [0.000, 0.000, 0.500]],
  "spacegroup": "P4/mmm",
  "e_form_raw_mev_per_atom": 1102
}



[14]
{
  "formula": "Na2Te2Pt",
  "functional": "SCAN",
  "state": "PBEsol geometry",
  "cell": [[7.208, 0.000, 0.000], [0.000, 7.208, 0.000], [0.000, 0.000, 4.892]],
  "species": ["Na", "Na", "Na", "Na", "Te", "Te", "Te", "Te", "Pt", "Pt"],
  "frac_coords": [[0.158, 0.342, 0.000], [0.342, 0.842, 0.000], [0.658, 0.158, 0.000], [0.842, 0.658, 0.000], [0.164, 0.664, 0.500], [0.336, 0.164, 0.500], [0.664, 0.836, 0.500], [0.836, 0.336, 0.500], [0.000, 0.000, 0.500], [0.500, 0.500, 0.500]],
  "spacegroup": "P4/mbm",
  "e_form_raw_mev_per_atom": -624
}



[15]
{
  "formula": "Hg2WBr",
  "functional": "SCAN",
  "state": "PBEsol geometry",
  "cell": [[-1.441, 2.222, 6.722], [1.441, -2.222, 6.722], [1.441, 2.222, -6.722]],
  "species": ["Hg", "Hg", "W", "Br"],
  "frac_coords": [[0.190, 0.190, 0.000], [0.810, 0.810, 0.000], [0.000, 0.500, 0.500], [0.500, 0.000, 0.500]],
  "spacegroup": "Immm",
  "e_form_raw_mev_per_atom": 854,
  "relative_energy_kj_per_mol_fu": 23.6
}



[16]
{
  "formula": "RbCo3As",
  "functional": "SCAN",
  "state": "PBEsol geometry",
  "cell": [[4.485, 0.000, 0.000], [0.000, 4.485, 0.000], [0.000, 0.000, 4.485]],
  "species": ["Rb", "Co", "Co", "Co", "As"],
  "frac_coords": [[0.000, 0.000, 0.000], [0.000, 0.000, 0.500], [0.000, 0.500, 0.000], [0.500, 0.000, 0.000], [0.500, 0.500, 0.500]],
  "formation_enthalpy_0k_ev_per_fu": 12.499,
  "spacegroup": "Pm-3m"
}



[17]
{
  "formula": "La2Au",
  "functional": "SCAN",
  "state": "PBEsol geometry",
  "cell": [[0.000, 7.042, 7.042], [7.042, 0.000, 7.042], [7.042, 7.042, 0.000]],
  "species": ["La", "La", "La", "La", "La", "La", "La", "La", "La", "La", "La", "La", "La", "La", "La", "La", "Au", "Au", "Au", "Au", "Au", "Au", "Au", "Au"],
  "frac_coords": [[0.000, 0.000, 0.000], [0.000, 0.000, 0.500], [0.000, 0.500, 0.000], [0.184, 0.184, 0.566], [0.184, 0.566, 0.184], [0.184, 0.566, 0.566], [0.434, 0.434, 0.816], [0.434, 0.816, 0.434], [0.434, 0.816, 0.816], [0.500, 0.000, 0.000], [0.566, 0.184, 0.184], [0.566, 0.184, 0.566], [0.566, 0.566, 0.184], [0.816, 0.434, 0.434], [0.816, 0.434, 0.816], [0.816, 0.816, 0.434], [0.170, 0.777, 0.777], [0.223, 0.223, 0.223], [0.223, 0.223, 0.830], [0.223, 0.830, 0.223], [0.777, 0.170, 0.777], [0.777, 0.777, 0.170], [0.777, 0.777, 0.777], [0.830, 0.223, 0.223]],
  "formation_enthalpy_0k_ev_per_fu": -2.067,
  "spacegroup": "Fd-3m"
}



[18]
{
  "formula": "SrLi4Zr",
  "functional": "SCAN",
  "state": "PBEsol geometry",
  "cell": [[0.000, 4.137, 4.137], [4.137, 0.000, 4.137], [4.137, 4.137, 0.000]],
  "species": ["Sr", "Li", "Li", "Li", "Li", "Zr"],
  "frac_coords": [[0.000, 0.000, 0.000], [0.135, 0.622, 0.622], [0.622, 0.135, 0.622], [0.622, 0.622, 0.135], [0.622, 0.622, 0.622], [0.250, 0.250, 0.250]],
  "formation_enthalpy_0k_ev_per_fu": 1.831,
  "spacegroup": "F-43m"
}



[19]
{
  "formula": "SrCd2I2",
  "functional": "SCAN",
  "state": "PBEsol geometry",
  "cell": [[-2.025, 2.025, 10.211], [2.025, -2.025, 10.211], [2.025, 2.025, -10.211]],
  "species": ["Sr", "Cd", "Cd", "I", "I"],
  "frac_coords": [[0.000, 0.000, 0.000], [0.250, 0.750, 0.500], [0.750, 0.250, 0.500], [0.408, 0.408, 0.000], [0.592, 0.592, 0.000]],
  "spacegroup": "I4/mmm",
  "e_form_raw_mev_per_atom": -850
}



[20]
{
  "formula": "Y3TlF10",
  "functional": "SCAN",
  "state": "PBEsol geometry",
  "cell": [[8.153, 0.000, 0.000], [-4.077, 7.061, 0.000], [0.000, 0.000, 13.317]],
  "species": ["Y", "Y", "Y", "Y", "Y", "Y", "Y", "Y", "Y", "Y", "Y", "Y", "Tl", "Tl", "Tl", "Tl", "F", "F", "F", "F", "F", "F", "F", "F", "F", "F", "F", "F", "F", "F", "F", "F", "F", "F", "F", "F", "F", "F", "F", "F", "F", "F", "F", "F", "F", "F", "F", "F", "F", "F", "F", "F", "F", "F", "F", "F"],
  "frac_coords": [[0.011, 0.506, 0.000], [0.174, 0.348, 0.760], [0.174, 0.826, 0.760], [0.348, 0.174, 0.260], [0.494, 0.506, 0.000], [0.494, 0.989, 0.000], [0.506, 0.011, 0.500], [0.506, 0.494, 0.500], [0.652, 0.826, 0.760], [0.826, 0.174, 0.260], [0.826, 0.652, 0.260], [0.989, 0.494, 0.500], [0.000, 0.000, 0.008], [0.000, 0.000, 0.508], [0.333, 0.667, 0.253], [0.667, 0.333, 0.753], [0.004, 0.339, 0.630], [0.004, 0.664, 0.630], [0.041, 0.520, 0.826], [0.110, 0.220, 0.293], [0.110, 0.890, 0.293], [0.183, 0.366, 0.936], [0.183, 0.817, 0.936], [0.220, 0.110, 0.793], [0.222, 0.445, 0.463], [0.222, 0.778, 0.463], [0.333, 0.667, 0.043], [0.333, 0.667, 0.712], [0.336, 0.339, 0.630], [0.336, 0.996, 0.630], [0.339, 0.004, 0.130], [0.339, 0.336, 0.130], [0.366, 0.183, 0.436], [0.445, 0.222, 0.963], [0.480, 0.520, 0.826], [0.480, 0.959, 0.826], [0.520, 0.041, 0.326], [0.520, 0.480, 0.326], [0.555, 0.778, 0.463], [0.634, 0.817, 0.936], [0.661, 0.664, 0.630], [0.661, 0.996, 0.630], [0.664, 0.004, 0.130], [0.664, 0.661, 0.130], [0.667, 0.333, 0.212], [0.667, 0.333, 0.543], [0.778, 0.222, 0.963], [0.778, 0.555, 0.963], [0.780, 0.890, 0.293], [0.817, 0.183, 0.436], [0.817, 0.634, 0.436], [0.890, 0.110, 0.793], [0.890, 0.780, 0.793], [0.959, 0.480, 0.326], [0.996, 0.336, 0.130], [0.996, 0.661, 0.130]],
  "spacegroup": "P6_3mc",
  "e_form_raw_mev_per_atom": -4103
}



Number 1: volume 30.85 Å³/atom, D(E_F) 3.04 states/eV/f.u.. Number 2: volume 15.76 Å³/atom, D(E_F) 0.56 states/eV/f.u.. Number 3: volume 19.07 Å³/atom, D(E_F) 3.20 states/eV/f.u.. Number 4: volume 13.56 Å³/atom, D(E_F) 2.12 states/eV/f.u.. Number 5: volume 26.19 Å³/atom, D(E_F) 3.92 states/eV/f.u.. Number 6: volume 26.09 Å³/atom, D(E_F) 5.44 states/eV/f.u.. Number 7: volume 18.60 Å³/atom, D(E_F) 2.09 states/eV/f.u.. Number 8: volume 27.69 Å³/atom, D(E_F) 0.00 states/eV/f.u.. Number 9: volume 17.83 Å³/atom, D(E_F) 2.03 states/eV/f.u.. Number 10: volume 26.88 Å³/atom, D(E_F) 0.00 states/eV/f.u.. Number 11: volume 7.91 Å³/atom, D(E_F) 1.32 states/eV/f.u.. Number 12: volume 21.24 Å³/atom, D(E_F) 1.52 states/eV/f.u.. Number 13: volume 11.77 Å³/atom, D(E_F) 1.12 states/eV/f.u.. Number 14: volume 25.42 Å³/atom, D(E_F) 0.44 states/eV/f.u.. Number 15: volume 21.52 Å³/atom, D(E_F) 2.22 states/eV/f.u.. Number 16: volume 18.05 Å³/atom, D(E_F) 2.56 states/eV/f.u.. Number 17: volume 29.10 Å³/atom, D(E_F) 2.63 states/eV/f.u.. Number 18: volume 23.61 Å³/atom, D(E_F) 4.01 states/eV/f.u.. Number 19: volume 33.48 Å³/atom, D(E_F) 0.85 states/eV/f.u.. Number 20: volume 13.69 Å³/atom, D(E_F) 0.00 states/eV/f.u..